No. 1
## LaEr8Tm5 (PBE)

Data for an optimized crystal structure of LaEr8Tm5.

abc: 8.3321 8.3321 8.3321
angles: 110.61 110.61 107.22
With the nearest neighbours (Å) after each atom.
Atoms (fractional coordinates):
Er 0.6769 0.9168 0.9012  1 La 3.35, 4 Tm 3.41-3.50, 4 Er 3.48-3.72
Er 0.8284 0.4109 0.2346  1 La 3.08, 4 Tm 3.21-3.40
Er 0.1763 0.5938 0.7654  1 La 3.08, 4 Tm 3.21-3.40
Er 0.0156 0.7756 0.0988  1 La 3.35, 4 Tm 3.41-3.50, 4 Er 3.48-3.72
Er 0.4062 0.1716 0.5825  1 La 3.08, 4 Tm 3.21-3.40
Er 0.5891 0.8237 0.4175  1 La 3.08, 4 Tm 3.21-3.40
Er 0.0832 0.9844 0.7601  1 La 3.35, 4 Tm 3.41-3.50, 4 Er 3.48-3.72
Er 0.2244 0.3231 0.2399  1 La 3.35, 4 Tm 3.41-3.50, 4 Er 3.48-3.72
Tm 0.7150 0.5341 0.5944  8 Er 3.28-3.50, 2 Tm 3.51
Tm 0.4659 0.0603 0.1810  8 Er 3.28-3.50, 2 Tm 3.51
Tm 0.9397 0.1207 0.4056  8 Er 3.28-3.50, 2 Tm 3.51
Tm 0.5000 0.5000 0.0000  4 Er 3.21
Tm 0.8793 0.2850 0.8190  8 Er 3.28-3.50, 2 Tm 3.51
La 0.2500 0.7500 0.5000  8 Er 3.08-3.35

**VASP energy**: -4.306 eV/atom
**Formation energy**: 251 meV/atom
**Spin magnetization**: 0.00 μB per cell
**Calculated volume**: 31.77 A^3/atom
**Space group**: I-4, No. 82

---

No. 2
## NdMgSnH (PBE)

Data for an optimized crystal structure of NdMgSnH.

abc: 4.4187 4.4187 8.3600
angles: 90.00 90.00 90.00
With the nearest neighbours (Å) after each atom.
Atoms (fractional coordinates):
Mg 0.0000 0.0000 0.5000  4 Sn 2.91, 4 Mg 3.12
Mg 0.5000 0.5000 0.5000  4 Sn 2.91, 4 Mg 3.12
Sn 0.5000 0.0000 0.7264  4 Mg 2.91, 4 H 3.18
Sn 0.0000 0.5000 0.2736  4 Mg 2.91, 4 H 3.18
H 0.5000 0.5000 0.0000  4 Nd 2.46
H 0.0000 0.0000 0.0000  4 Nd 2.46
Nd 0.5000 0.0000 0.1284  4 H 2.46
Nd 0.0000 0.5000 0.8716  4 H 2.46

**VASP energy**: -3.995 eV/atom
**Spin magnetization**: 0.00 μB per cell
**Calculated volume**: 20.40 A^3/atom
**Space group**: P4/nmm, No. 129

---

No. 3
## HfSb2TeP (PBE)

Data for an optimized crystal structure of HfSb2TeP.

abc: 5.0613 5.0613 5.1782
angles: 90.00 90.00 90.00
With the nearest neighbours (Å) after each atom.
Atoms (fractional coordinates):
Sb 0.5000 0.0000 0.0000  2 P 2.53
Sb 0.0000 0.5000 0.0000  2 P 2.53
Hf 0.5000 0.5000 0.5000  4 Te 3.58, 8 Sb 3.62
Te 0.0000 0.0000 0.5000  2 P 2.59
P 0.0000 0.0000 0.0000  4 Sb 2.53, 2 Te 2.59

**ΔE_f (raw)**: 0.5997 eV per atom
**VASP energy**: -4.750 eV/atom
**Distance to the lowest polymorph of the same formula**: 0 meV/atom
**Spin magnetization**: 0.00 μB per cell
**Calculated volume**: 26.53 A^3/atom
**Space group**: P4/mmm, No. 123

---

No. 4
## Nd4YAl (PBE)

Data for an optimized crystal structure of Nd4YAl.

abc: 6.4114 9.1693 8.3825
angles: 113.75 100.15 112.15
With the nearest neighbours (Å) after each atom.
Atoms (fractional coordinates):
Nd 0.0407 0.1652 0.7704  2 Al 3.28-3.31, 3 Nd 3.37-3.65, 2 Y 3.44-3.60
Nd 0.7703 0.3948 0.2296  2 Al 3.28-3.31, 3 Nd 3.37-3.65, 2 Y 3.44-3.60
Nd 0.2367 0.2833 0.3667  2 Al 3.16-3.17, 3 Nd 3.37-3.50
Nd 0.3700 0.9166 0.6333  2 Al 3.16-3.17, 3 Nd 3.37-3.50
Nd 0.9593 0.8348 0.2296  2 Al 3.28-3.31, 3 Nd 3.37-3.65, 2 Y 3.44-3.60
Nd 0.6300 0.0834 0.3667  2 Al 3.16-3.17, 3 Nd 3.37-3.50
Nd 0.7633 0.7167 0.6333  2 Al 3.16-3.17, 3 Nd 3.37-3.50
Nd 0.2297 0.6052 0.7704  2 Al 3.28-3.31, 3 Nd 3.37-3.65, 2 Y 3.44-3.60
Y 0.3393 0.5893 0.1787  8 Nd 3.44-3.69
Y 0.6607 0.4107 0.8213  8 Nd 3.44-3.69
Al 0.2497 0.9997 0.9995  8 Nd 3.16-3.31, 2 Al 3.21
Al 0.7503 0.0003 0.0005  8 Nd 3.16-3.31, 2 Al 3.21

**VASP energy**: -4.905 eV/atom
**Formation energy**: -26 meV/atom
**Distance to the lowest polymorph of the same formula**: 69 meV/atom
**Spin magnetization**: 0.00 μB per cell
**Calculated volume**: 32.10 A^3/atom
**Space group**: C2/c, No. 15

---

No. 5
## Mg2CdCo (PBE)

Data for an optimized crystal structure of Mg2CdCo.

abc: 9.6677 9.6677 9.6677
angles: 17.83 17.83 17.83
With the nearest neighbours (Å) after each atom.
Atoms (fractional coordinates):
Mg 0.4861 0.4861 0.4861  3 Co 2.63
Mg 0.0139 0.0139 0.0139  3 Co 2.63
Co 0.7500 0.7500 0.7500  6 Mg 2.63
Cd 0.2500 0.2500 0.2500  6 Cd 3.00, 6 Mg 3.27

**VASP energy**: -2.638 eV/atom
**Formation energy**: 164 meV/atom
**Spin magnetization**: 1.20 μB per cell
**Calculated volume**: 18.48 A^3/atom
**Space group**: R-3m, No. 166

---

No. 6
## Ta3VIr (PBE)

Data for an optimized crystal structure of Ta3VIr.

abc: 4.5474 4.5474 4.5474
angles: 90.00 90.00 90.00
With the nearest neighbours (Å) after each atom.
Atoms (fractional coordinates):
Ir 0.5000 0.5000 0.5000  12 Ta 3.22
V 0.0000 0.0000 0.0000  6 Ta 2.27
Ta 0.0000 0.0000 0.5000  2 V 2.27
Ta 0.5000 0.0000 0.0000  2 V 2.27
Ta 0.0000 0.5000 0.0000  2 V 2.27

**VASP energy**: -9.536 eV/atom
**Formation energy**: 1172 meV/atom
**Distance to the lowest polymorph of the same formula**: 0 meV/atom
**Spin magnetization**: 0.00 μB per cell
**Calculated volume**: 18.81 A^3/atom
**Space group**: Pm-3m, No. 221

---

No. 7
## Pm5Ho3Er3 (PBE)

Data for an optimized crystal structure of Pm5Ho3Er3.

abc: 3.4593 11.1518 11.1518
angles: 120.00 90.00 90.00
With the nearest neighbours (Å) after each atom.
Atoms (fractional coordinates):
Er 0.0000 0.4069 0.4069  2 Pm 3.23, 2 Ho 3.29, 2 Er 3.46
Er 0.0000 0.5931 0.0000  2 Pm 3.23, 2 Ho 3.29, 2 Er 3.46
Er 0.0000 0.0000 0.5931  2 Pm 3.23, 2 Ho 3.29, 2 Er 3.46
Pm 0.5000 0.6667 0.3333  2 Pm 3.46, 3 Ho 3.67, 6 Er 3.80
Pm 0.5000 0.0000 0.8382  4 Pm 3.13-3.46, 2 Er 3.23, 2 Ho 3.31
Pm 0.5000 0.3333 0.6667  2 Pm 3.46, 3 Ho 3.67, 6 Er 3.80
Pm 0.5000 0.8382 0.0000  4 Pm 3.13-3.46, 2 Er 3.23, 2 Ho 3.31
Pm 0.5000 0.1618 0.1618  4 Pm 3.13-3.46, 2 Er 3.23, 2 Ho 3.31
Ho 0.5000 0.6575 0.6575  2 Er 3.29, 4 Pm 3.31-3.67, 2 Ho 3.46
Ho 0.5000 0.0000 0.3425  2 Er 3.29, 4 Pm 3.31-3.67, 2 Ho 3.46
Ho 0.5000 0.3425 0.0000  2 Er 3.29, 4 Pm 3.31-3.67, 2 Ho 3.46

**VASP energy**: -4.309 eV/atom
**Formation energy**: 344 meV/atom
**Distance to the lowest polymorph of the same formula**: 19 meV/atom
**Spin magnetization**: 0.01 μB per cell
**Calculated volume**: 33.87 A^3/atom
**Space group**: P-62m, No. 189

---

No. 8
## HoScCoAg (PBE)

Data for an optimized crystal structure of HoScCoAg.

abc: 3.2377 3.2377 7.3823
angles: 90.00 90.00 90.00
With the nearest neighbours (Å) after each atom.
Atoms (fractional coordinates):
Ho 0.5000 0.5000 0.7862  4 Co 2.87, 1 Sc 3.19
Co 0.0000 0.0000 0.5523  4 Sc 2.72, 4 Ho 2.87
Sc 0.5000 0.5000 0.3546  4 Co 2.72, 4 Ag 3.00
Ag 0.0000 0.0000 0.0916  4 Sc 3.00, 4 Ho 3.21, 4 Ag 3.24

**VASP energy**: -5.501 eV/atom
**Formation energy**: -285 meV/atom
**Distance to the lowest polymorph of the same formula**: 0 meV/atom
**Spin magnetization**: 0.43 μB per cell
**Calculated volume**: 19.35 A^3/atom
**Space group**: P4mm, No. 99